A geometry-optimized OsRu2W structure. Source: Alexandria, functional PBE-GGA.

Energy above the most stable polymorph in this dataset in eV/atom: 0.531
Crystal system: cubic
Volume in Å³/f.u.: 60
Uncorrected energy in eV/cell: -162.7

a b c (Å): 6.2085 6.2085 6.2085
angles (deg): 90.00 90.00 90.00
Sites, in units of the cell vectors:
Os: 0.0000 0.0000 0.0000
Os: 0.0000 0.5000 0.5000
Os: 0.5000 0.0000 0.5000
Os: 0.5000 0.5000 0.0000
Ru: 0.2500 0.2500 0.2500
Ru: 0.2500 0.2500 0.7500
Ru: 0.2500 0.7500 0.2500
Ru: 0.2500 0.7500 0.7500
Ru: 0.7500 0.2500 0.2500
Ru: 0.7500 0.2500 0.7500
Ru: 0.7500 0.7500 0.2500
Ru: 0.7500 0.7500 0.7500
W: 0.0000 0.0000 0.5000
W: 0.0000 0.5000 0.0000
W: 0.5000 0.0000 0.0000
W: 0.5000 0.5000 0.5000